# MnInMoO6 | Alexandria | PBE with a Hubbard U | relaxed
# total energy	-6.714	eV/atom
# magnetization	8.00	Bohr magnetons per cell
data_MnInMoO6
_symmetry_space_group_name_H-M 'P 42 n m'
_symmetry_Int_Tables_number 102
_symmetry_space_group_name_Hall 'P 4n -2n'
_cell_length_a 4.706
_cell_length_b 4.706
_cell_length_c 9.443
_cell_angle_alpha 90.00
_cell_angle_beta 90.00
_cell_angle_gamma 90.00
loop_
_atom_site_label
_atom_site_fract_x
_atom_site_fract_y
_atom_site_fract_z
_atom_site_occupancy
Mn1 0.000 0.000 0.000 1
In1 0.000 0.000 0.666 1
Mo1 0.000 0.000 0.332 1
O1 0.180 0.180 0.163 1
O2 0.204 0.204 0.846 1
O3 0.206 0.206 0.491 1